Record 1
Na2Ce3Hg6 | PBE-GGA | relaxed

It has space group I4/mmm (No. 139), with a = 5.246 Å, b = 5.246 Å, c = 22.782 Å, α = 90.00°, β = 90.00° and γ = 90.00°. Symmetry generates all atoms from Na at (0.000, 0.000, 0.055), Ce at (0.000, 0.000, 0.320), Ce at (0.000, 0.000, 0.500), Hg at (0.000, 0.000, 0.185) and Hg at (0.000, 0.500, 0.099).

The crystal system is tetragonal. The value obtained for the formation energy is -0.034 eV/atom. As for the magnetic moment: 7.92 μB/cell. For the density of states at the Fermi level, the calculation gives 59.2 states/eV per cell.

Record 2
AsRuW2 | PBE-GGA | relaxed

It has space group R-3m (No. 166, hexagonal axes), with a = 2.8445 Å, b = 2.8445 Å, c = 26.6857 Å, α = 90.00°, β = 90.00° and γ = 120.00°. Symmetry generates all atoms from As at (0.0000, 0.0000, 0.0000), Ru at (0.0000, 0.0000, 0.5000) and W at (0.0000, 0.0000, 0.2488).

The crystal system is trigonal. The value obtained for the formation energy is 0.296 eV/atom. As for the magnetic moment: 0.00 μB/cell. For the density of states at the Fermi level, the calculation gives 13.8 states/eV per cell.

Record 3
NaTmTl | PBE-GGA | relaxed

It has space group I4/mmm (No. 139), with a = 3.543 Å, b = 3.543 Å, c = 29.033 Å, α = 90.00°, β = 90.00° and γ = 90.00°. Symmetry generates all atoms from Na at (0.000, 0.000, 0.060), Tm at (0.000, 0.000, 0.209) and Tl at (0.000, 0.000, 0.366).

The crystal system is tetragonal. The value obtained for the formation energy is -0.101 eV/atom. As for the magnetic moment: 0.00 μB/cell. The energy relative to the lowest polymorph listed for this composition comes out at 0.011 eV/atom. For the density of states at the Fermi level, the calculation gives 12.2 states/eV per cell.

Record 4
Pm3PbAu | PBE-GGA | relaxed

It has space group Pm-3m (No. 221), with a = 7.579 Å, b = 7.579 Å, c = 7.579 Å, α = 90.00°, β = 90.00° and γ = 90.00°. Symmetry generates all atoms from Pm at (0.000, 0.000, 0.000), Pm at (0.264, 0.264, 0.264), Pb at (0.000, 0.000, 0.500) and Au at (0.000, 0.500, 0.500).

The crystal system is cubic. The value obtained for the formation energy is -0.472 eV/atom. As for the magnetic moment: 2.39 μB/cell. For the density of states at the Fermi level, the calculation gives 15.5 states/eV per cell.

Record 5
Sc3Rh4 | PBE-GGA | relaxed

It has space group I4/mmm (No. 139), with a = 3.406 Å, b = 3.406 Å, c = 20.805 Å, α = 90.00°, β = 90.00° and γ = 90.00°. Symmetry generates all atoms from Sc at (0.000, 0.000, 0.000), Sc at (0.000, 0.000, 0.301), Rh at (0.000, 0.000, 0.151) and Rh at (0.000, 0.000, 0.433).

The crystal system is tetragonal. The value obtained for the formation energy is -0.509 eV/atom. As for the magnetic moment: 0.00 μB/cell. The energy relative to the lowest polymorph listed for this composition comes out at 0.382 eV/atom. For the density of states at the Fermi level, the calculation gives 14.8 states/eV per cell.

Record 6
Tl12Sn6Au | PBE-GGA | relaxed

It has space group R-3m (No. 166, hexagonal axes), with a = 10.3999 Å, b = 10.3999 Å, c = 18.3966 Å, α = 90.00°, β = 90.00° and γ = 120.00°. Symmetry generates all atoms from Tl at (0.0839, 0.5419, 0.4035), Tl at (0.1098, 0.2197, 0.4148), Sn at (0.1056, 0.2112, 0.1148) and Au at (0.0000, 0.0000, 0.0000).

The crystal system is trigonal. The value obtained for the formation energy is 0.023 eV/atom. As for the magnetic moment: 0.00 μB/cell. For the density of states at the Fermi level, the calculation gives 35.9 states/eV per cell.

Record 7
CoPtCl2 | PBE-GGA | relaxed

It has space group C2/m (No. 12), with a = 6.191 Å, b = 7.672 Å, c = 4.420 Å, α = 90.00°, β = 133.86° and γ = 90.00°. Symmetry generates all atoms from Co at (0.000, 0.000, 0.000), Pt at (0.000, 0.500, 0.000) and Cl at (0.250, 0.250, 0.000).

The crystal system is monoclinic. As for the magnetic moment: 4.71 μB/cell. The value obtained for the raw formation energy is 0.37 eV per atom. The energy relative to the lowest polymorph listed for this composition comes out at 0.459 eV/atom. For the density of states at the Fermi level, the calculation gives 8.0 states/eV per cell.

Record 8
TaCuSb2Cl | PBE-GGA | relaxed

It has space group P4/mmm (No. 123), with a = 5.407 Å, b = 5.407 Å, c = 4.639 Å, α = 90.00°, β = 90.00° and γ = 90.00°. Symmetry generates all atoms from Ta at (0.000, 0.000, 0.000), Cu at (0.500, 0.500, 0.500), Sb at (0.000, 0.500, 0.000) and Cl at (0.000, 0.000, 0.500).

The crystal system is tetragonal. As for the magnetic moment: 0.00 μB/cell. The value obtained for the raw formation energy is 0.42 eV per atom. For the density of states at the Fermi level, the calculation gives 2.1 states/eV per cell.

Record 9
Ce2NdTe4 | PBE-GGA | relaxed

It has space group I-42d (No. 122), with a = 9.534 Å, b = 9.534 Å, c = 9.560 Å, α = 90.00°, β = 90.00° and γ = 90.00°. Symmetry generates all atoms from Ce at (0.127, 0.750, 0.125), Nd at (0.000, 0.000, 0.500) and Te at (0.076, 0.674, 0.452).

The crystal system is tetragonal. As for the magnetic moment: 11.77 μB/cell. The value obtained for the raw formation energy is -1.41 eV per atom. The energy relative to the lowest polymorph listed for this composition comes out at 0.000 eV/atom. For the density of states at the Fermi level, the calculation gives 60.0 states/eV per cell.

Record 10
AlZn2Re | PBE-GGA | relaxed

It has space group I-4m2 (No. 119), with a = 3.700 Å, b = 3.700 Å, c = 8.350 Å, α = 90.00°, β = 90.00° and γ = 90.00°. Symmetry generates all atoms from Al at (0.000, 0.000, 0.000), Zn at (0.000, 0.000, 0.500), Zn at (0.000, 0.500, 0.750) and Re at (0.000, 0.500, 0.250).

The crystal system is tetragonal. The value obtained for the formation energy is -0.025 eV/atom. As for the magnetic moment: 0.00 μB/cell. For the density of states at the Fermi level, the calculation gives 0.7 states/eV per cell.

Record 11
Pu2GaIr | PBE-GGA | relaxed

It has space group P4/mmm (No. 123), with a = 3.653 Å, b = 3.653 Å, c = 4.931 Å, α = 90.00°, β = 90.00° and γ = 90.00°. Symmetry generates all atoms from Pu at (0.000, 0.500, 0.000), Ga at (0.000, 0.000, 0.500) and Ir at (0.500, 0.500, 0.500).

The crystal system is tetragonal. The value obtained for the formation energy is 0.021 eV/atom. As for the magnetic moment: 1.93 μB/cell. For the density of states at the Fermi level, the calculation gives 8.1 states/eV per cell.

Record 12
CaCr3 | PBE-GGA | relaxed

It has space group Pnma (No. 62), with a = 7.525 Å, b = 6.168 Å, c = 5.782 Å, α = 90.00°, β = 90.00° and γ = 90.00°. Symmetry generates all atoms from Ca at (0.032, 0.250, 0.119), Cr at (0.107, 0.750, 0.369) and Cr at (0.166, 0.080, 0.598).

The crystal system is orthorhombic. The value obtained for the formation energy is 0.670 eV/atom. As for the magnetic moment: 0.00 μB/cell. For the density of states at the Fermi level, the calculation gives 14.4 states/eV per cell.

> Which formula does entry 6 have?

Tl12Sn6Au

> Look up the magnetic moment of the eleventh one.

1.93 μB/cell